1.
TbZnN (PBE, relaxed); space group = C2/m (12); DOS at the Fermi energy = 1.59 states/eV/cell; total magnetization = 0.00 μB/f.u.; E_tot = -5.36 eV per atom; ρ = 7.9 Mg/m³
1.0
3.684 0.000 0.000
-1.842 3.816 -0.025
0.000 -2.127 7.184
Tb Zn N
2 2 2
direct
0.097 0.194 0.826
0.903 0.806 0.174
0.346 0.692 0.497
0.654 0.308 0.503
0.595 0.190 0.035
0.405 0.810 0.965

2.
Tb2ZnN (PBE, relaxed); space group = R-3m (166); DOS at the Fermi energy = 2.86 states/eV/cell; total magnetization = 0.00 μB/f.u.; E_tot = -5.58 eV per atom; ρ = 8.2 Mg/m³
1.0
3.531 0.000 0.000
1.765 3.058 0.000
1.765 1.019 7.435
Zn Tb N
1 2 1
direct
0.000 0.000 0.000
0.772 0.772 0.684
0.228 0.228 0.316
0.500 0.500 0.500

3.
TbZr3N4 (PBE, relaxed); space group = Pm-3m (221); energy above the lowest structure with this stoichiometry = 29 meV/atom; DOS at the Fermi energy = 2.16 states/eV/cell; total magnetization = 0.00 μB/f.u.; E_tot = -9.60 eV per atom; ρ = 7.9 Mg/m³
1.0
4.689 0.000 0.000
0.000 4.689 0.000
0.000 0.000 4.689
Tb Zr N
1 3 4
direct
0.000 0.000 0.000
0.000 0.500 0.500
0.500 0.000 0.500
0.500 0.500 0.000
0.500 0.000 0.000
0.000 0.500 0.000
0.000 0.000 0.500
0.500 0.500 0.500

4.
Tb5Zr3N8 (PBE, relaxed); space group = R-3m (166); DOS at the Fermi energy = 2.27 states/eV/cell; total magnetization = 0.00 μB/f.u.; E_tot = -8.92 eV per atom; ρ = 8.9 Mg/m³
1.0
5.880 0.000 3.368
1.975 5.538 3.368
0.006 0.004 6.806
Tb Zr N
5 3 8
direct
0.500 0.000 0.000
0.500 0.500 0.000
0.000 0.000 0.000
0.000 0.500 0.000
0.500 0.500 0.500
0.500 0.000 0.500
0.000 0.000 0.500
0.000 0.500 0.500
0.250 0.250 0.735
0.250 0.765 0.735
0.765 0.250 0.735
0.756 0.756 0.731
0.750 0.750 0.265
0.750 0.235 0.265
0.235 0.750 0.265
0.244 0.244 0.269

5.
Tb4ZrN5 (PBE, relaxed); space group = I4 (79); DOS at the Fermi energy = 1.92 states/eV/cell; total magnetization = 0.00 μB/f.u.; E_tot = -8.56 eV per atom; ρ = 9.2 Mg/m³
1.0
4.390 0.000 2.118
2.195 5.437 1.059
-0.167 0.000 5.956
Tb Zr N
4 1 5
direct
0.400 0.400 0.802
0.800 0.802 0.600
0.202 0.198 0.400
0.602 0.600 0.198
0.002 0.000 0.000
0.906 0.382 0.809
0.287 0.809 0.618
0.715 0.191 0.382
0.097 0.618 0.191
0.500 0.000 0.000

6.
TbZr5N5 (PBE, relaxed); space group = C2/m (12); DOS at the Fermi energy = 3.57 states/eV/cell; total magnetization = 0.00 μB/f.u.; E_tot = -9.64 eV per atom; ρ = 7.4 Mg/m³
1.0
-4.611 0.858 0.158
1.797 -3.877 3.796
1.194 5.935 2.613
Tb Zr N
1 5 5
direct
0.000 0.000 0.000
0.672 0.344 0.330
0.672 0.344 0.841
0.000 0.000 0.500
0.328 0.656 0.159
0.328 0.656 0.670
0.829 0.658 0.170
0.829 0.657 0.658
0.500 0.000 0.000
0.171 0.343 0.342
0.171 0.342 0.830

7.
TbZr3N4 (PBE, relaxed); space group = Cmmm (65); energy above the lowest structure with this stoichiometry = 0 meV/atom; DOS at the Fermi energy = 1.23 states/eV/cell; total magnetization = 0.00 μB/f.u.; E_tot = -9.63 eV per atom; ρ = 7.9 Mg/m³
1.0
-2.312 -1.042 2.114
4.087 -1.348 3.805
1.024 4.545 3.361
Tb Zr N
1 3 4
direct
0.500 0.500 0.000
0.500 0.000 0.500
0.000 0.000 0.000
0.000 0.500 0.500
0.000 0.762 0.738
0.500 0.756 0.255
0.000 0.238 0.262
0.500 0.245 0.744

8.
TbZr5N4 (PBE, relaxed); space group = C2/m (12); DOS at the Fermi energy = 5.65 states/eV/cell; total magnetization = 0.00 μB/f.u.; E_tot = -9.42 eV per atom; ρ = 7.2 Mg/m³
1.0
3.338 0.000 0.000
0.000 6.705 -0.395
-1.669 -1.372 6.971
Tb Zr N
1 5 4
direct
0.500 0.000 0.000
0.829 0.682 0.659
0.836 0.151 0.672
0.164 0.849 0.328
0.500 0.500 0.000
0.171 0.318 0.341
0.328 0.912 0.656
0.995 0.733 0.989
0.672 0.088 0.344
0.005 0.267 0.011

Q: Which raw formation energy values were calculated for the entries above? A: -179; -332; -1278; -2633; -1628; -1648; -1300; -1302, in kJ/mol of formula units.